1.
Th2SeS2 | PBE | relaxed

Computed properties:
As for the total DFT energy (no corrections): -7.089 eV per atom. For the total magnetic moment, the calculation gives 0.0 μB/cell. The value obtained for the formation energy without anion corrections is -1.773 eV/atom.

```
Th2SeS2
1.0
-2.1765 2.1416 2.7467
-3.3208 -4.4295 0.8223
6.6025 -0.8847 2.8510
S Se Th
2 1 2
Cartesian
2.4959 -1.3138 3.0021 S
-1.3907 -1.8588 3.4179 S
0.0000 0.0000 0.0000 Se
0.9185 -3.5723 3.5132 Th
0.1867 0.3997 2.9068 Th
```



2.
Ba2LaHg | PBE | relaxed

Computed properties:
The calculation puts the energy relative to the elements at 38 meV/atom. As for the total DFT energy (no corrections): -2.231 eV per atom. For the total magnetic moment, the calculation gives 0.8 μB/cell.

```
Ba2LaHg
1.0
5.9814 0.0000 0.0000
2.9907 5.1801 0.0000
2.9907 1.7267 4.8838
La Ba Hg
1 2 1
Cartesian
8.9722 5.1801 3.6629 La
2.9907 1.7267 1.2210 Ba
0.0000 0.0000 0.0000 Ba
5.9814 3.4534 2.4419 Hg
```



3.
Ho2ScPaP4 | PBE | relaxed

Computed properties:
The calculation puts the energy relative to the elements at -1504 meV/atom. As for the total DFT energy (no corrections): -7.331 eV per atom. For the total magnetic moment, the calculation gives 0.0 μB/cell.

```
Ho2ScPaP4
1.0
3.9384 0.0000 0.0000
0.0000 6.7650 0.1087
0.0000 -2.3746 6.3896
Pa Ho P Sc
1 2 4 1
Cartesian
1.9692 3.3825 0.0543 Pa
0.0000 2.1952 3.2491 Ho
1.9692 -1.1873 3.1948 Ho
1.9692 1.0771 1.5528 P
0.0000 -0.1263 4.8571 P
1.9692 3.3132 4.9455 P
0.0000 4.5166 1.6412 P
0.0000 0.0000 0.0000 Sc
```